[1]
First-principles (GGA-PBE) data for BeCdP2 after structural relaxation, as listed in the Alexandria database.

Cell lengths 2.8214, 3.5993, 6.8816 Å; angles 90.00, 90.00, 90.00 degrees
Space group Pmm2 (No. 25)
One atom of each set of equivalent atoms:
Be1 0.0000 0.0000 0.0000 [1 per cell]
Cd1 0.5000 0.5000 0.4697 [1 per cell]
P1 0.0000 0.0000 0.6868 [1 per cell]
P2 0.5000 0.5000 0.1017 [1 per cell]

Properties
Its formation energy is 189 meV per atom. The value obtained for the mass density is 4.4 g cm⁻³. The size of the total moment comes out at 0.00 Bohr magnetons per cell.

---

[2]
First-principles (GGA-PBE) data for BeGaF after structural relaxation, as listed in the Alexandria database.

Cell lengths 2.6333, 4.5278, 8.1768 Å; angles 90.39, 91.39, 106.51 degrees
Space group P1 (No. 1)
One atom of each set of equivalent atoms:
Be1 0.0000 0.0000 0.0000 [1 per cell]
Be2 0.2947 0.5636 0.1865 [1 per cell]
Ga1 0.0366 0.1145 0.6835 [1 per cell]
Ga2 0.3051 0.6223 0.8628 [1 per cell]
F1 0.1144 0.2042 0.1571 [1 per cell]
F2 0.8395 0.6408 0.2828 [1 per cell]

Properties
The energy relative to the elements, uncorrected is -1.28 eV/atom. The value obtained for the mass density is 3.5 g cm⁻³. The size of the total moment comes out at 0.00 Bohr magnetons per cell.

---

[3]
First-principles (GGA-PBE) data for MgIn2Pd4 after structural relaxation, as listed in the Alexandria database.

Cell lengths 4.4958, 4.4958, 22.0801 Å; angles 90.00, 90.00, 120.00 degrees
Space group R-3m (No. 166, hexagonal axes)
One atom of each set of equivalent atoms:
Mg1 0.0000 0.0000 0.0000 [3 per cell]
In1 0.0000 0.0000 0.2466 [6 per cell]
Pd1 0.0000 0.0000 0.1245 [6 per cell]
Pd2 0.0000 0.0000 0.3745 [6 per cell]

Properties
Its formation energy is -475 meV per atom. The value obtained for the mass density is 8.8 g cm⁻³. The size of the total moment comes out at 0.00 Bohr magnetons per cell.

---

[4]
First-principles (GGA-PBE) data for RuRhW2 after structural relaxation, as listed in the Alexandria database.

Cell lengths 9.2107, 2.7648, 4.8218 Å; angles 90.00, 99.75, 90.00 degrees
Space group C2/m (No. 12)
One atom of each set of equivalent atoms:
Ru1 0.0000 0.0000 0.0000 [2 per cell]
Rh1 0.0000 0.5000 0.5000 [2 per cell]
W1 0.2491 0.0000 0.7503 [4 per cell]

Properties
Its formation energy is 52 meV per atom. The value obtained for the mass density is 15.7 g cm⁻³. The size of the total moment comes out at 0.00 Bohr magnetons per cell.

---

[5]
First-principles (GGA-PBE) data for TiSiHg2 after structural relaxation, as listed in the Alexandria database.

Cell lengths 7.6675, 7.6675, 5.4925 Å; angles 90.00, 90.00, 90.00 degrees
Space group I-42d (No. 122)
One atom of each set of equivalent atoms:
Ti1 0.0000 0.0000 0.0000 [4 per cell]
Si1 0.0000 0.0000 0.5000 [4 per cell]
Hg1 0.2245 0.2500 0.6250 [8 per cell]

Properties
The energy relative to the elements, uncorrected is 0.28 eV/atom. The value obtained for the mass density is 9.8 g cm⁻³. The size of the total moment comes out at 0.00 Bohr magnetons per cell.

---

[6]
First-principles (GGA-PBE) data for BiB3Ru after structural relaxation, as listed in the Alexandria database.

Cell lengths 4.1894, 4.1894, 4.1894 Å; angles 90.00, 90.00, 90.00 degrees
Space group Pm-3m (No. 221)
One atom of each set of equivalent atoms:
Bi1 0.0000 0.0000 0.0000 [1 per cell]
B1 0.0000 0.5000 0.5000 [3 per cell]
Ru1 0.5000 0.5000 0.5000 [1 per cell]

Properties
Its formation energy is 1166 meV per atom. The value obtained for the mass density is 7.7 g cm⁻³. The size of the total moment comes out at 0.00 Bohr magnetons per cell.

---

[7]
First-principles (GGA-PBE) data for Th2Cd3Ag3 after structural relaxation, as listed in the Alexandria database.

Cell lengths 8.6763, 8.6763, 6.4430 Å; angles 90.00, 90.00, 120.00 degrees
Space group P6_3/mcm (No. 193)
One atom of each set of equivalent atoms:
Th1 0.3333 0.6667 0.0000 [4 per cell]
Cd1 0.0000 0.3030 0.2500 [6 per cell]
Ag1 0.0000 0.3438 0.7500 [6 per cell]

Properties
Its formation energy is -17 meV per atom. The value obtained for the mass density is 8.9 g cm⁻³. The size of the total moment comes out at 0.00 Bohr magnetons per cell.

---

[8]
First-principles (GGA-PBE) data for RbNbTlO2 after structural relaxation, as listed in the Alexandria database.

Cell lengths 4.1823, 4.1823, 7.0629 Å; angles 90.00, 90.00, 90.00 degrees
Space group P4/mmm (No. 123)
One atom of each set of equivalent atoms:
Rb1 0.0000 0.0000 0.0000 [1 per cell]
Nb1 0.0000 0.0000 0.5000 [1 per cell]
Tl1 0.5000 0.5000 0.0000 [1 per cell]
O1 0.0000 0.5000 0.5000 [2 per cell]

Properties
The energy relative to the elements, uncorrected is -0.49 eV/atom. The value obtained for the mass density is 5.6 g cm⁻³. The size of the total moment comes out at 0.87 Bohr magnetons per cell.